[1]
Here is a relaxed Ti3PI crystal from Alexandria via LeMat-Bulk. Energies are from GGA-PBEsol.

The structure in CIF format:
```
data_Ti3PI
_chemical_formula_sum 'Ti3 P1 I1'
_symmetry_space_group_name_H-M 'P m -3 m'
_symmetry_Int_Tables_number 221
_symmetry_space_group_name_Hall '-P 4 2 3'
_cell_length_a 4.885
_cell_length_b 4.885
_cell_length_c 4.885
_cell_angle_alpha 90.00
_cell_angle_beta 90.00
_cell_angle_gamma 90.00
loop_
_atom_site_label
_atom_site_type_symbol
_atom_site_fract_x
_atom_site_fract_y
_atom_site_fract_z
Ti1 Ti 0.000 0.000 0.500
P1 P 0.500 0.500 0.500
I1 I 0.000 0.000 0.000
```

Results
Formation energy (no corrections): 27.4 kcal/mol of atoms

=====

[2]
Here is a relaxed TiP2I crystal from Alexandria via LeMat-Bulk. Energies are from GGA-PBEsol.

The structure in CIF format:
```
data_TiP2I
_chemical_formula_sum 'Ti4 P8 I4'
_symmetry_space_group_name_H-M 'F m -3 m'
_symmetry_Int_Tables_number 225
_symmetry_space_group_name_Hall '-F 4 2 3'
_cell_length_a 6.534
_cell_length_b 6.534
_cell_length_c 6.534
_cell_angle_alpha 90.00
_cell_angle_beta 90.00
_cell_angle_gamma 90.00
loop_
_atom_site_label
_atom_site_type_symbol
_atom_site_fract_x
_atom_site_fract_y
_atom_site_fract_z
Ti1 Ti 0.000 0.000 0.000
P1 P 0.250 0.250 0.250
I1 I 0.000 0.000 0.500
```

Results
Formation energy (no corrections): 11.4 kcal/mol of atoms